The following is a GGA+U calculation of Mn2FeAsO8 after structural relaxation, from the Alexandria database.

M_tot: 7.05 μB per formula unit
D(E_F): 1.31 states/eV per cell
Crystal system: orthorhombic
Calculated total energy: -6.57 eV per atom

abc: 4.446 4.445 5.859
angles: 90.00 90.00 89.82
Last column: magnetic moment on the atom in μB.
Sites, in units of the cell vectors:
Mn: 0.500 0.500 0.749  3.10
Mn: 0.500 0.500 0.251  3.10
O: 0.307 0.307 0.500  -0.05
O: 0.810 0.191 0.759  -0.05
O: 0.693 0.693 0.500  -0.05
O: 0.190 0.809 0.241  -0.05
O: 0.810 0.191 0.241  -0.05
O: 0.190 0.809 0.759  -0.05
O: 0.699 0.699 0.000  -0.04
O: 0.301 0.301 0.000  -0.04
Fe: 0.000 0.000 0.500  1.07
As: 0.000 0.000 0.000  0.01